Arrangement w

The following is a DFT calculation (PBE) of CsNb3As after structural relaxation. Values from VASP.

Calculated values
* space group: Pm-3m, No. 221
* density: 6.331 Mg/m³
* D(E_F): 3.2 states/eV/f.u.

Geometry as Quantum ESPRESSO input:
```
&SYSTEM
  ibrav = 0, nat = 5, ntyp = 3
/
ATOMIC_SPECIES
Nb 92.91 Nb.upf
As 74.92 As.upf
Cs 132.91 Cs.upf
CELL_PARAMETERS angstrom
5.035 0.000 0.000
0.000 5.035 0.000
0.000 0.000 5.035
ATOMIC_POSITIONS crystal
Nb 0.500 0.000 0.000
Nb 0.000 0.000 0.500
Nb 0.000 0.500 0.000
As 0.500 0.500 0.500
Cs 0.000 0.000 0.000
```

Arrangement x

The following is a DFT calculation (PBE) of CsNb3As after structural relaxation. Values from VASP.

Calculated values
* space group: Pm-3m, No. 221
* density: 6.496 Mg/m³
* D(E_F): 9.9 states/eV/f.u.

Geometry as Quantum ESPRESSO input:
```
&SYSTEM
  ibrav = 0, nat = 5, ntyp = 3
/
ATOMIC_SPECIES
Nb 92.91 Nb.upf
As 74.92 As.upf
Cs 132.91 Cs.upf
CELL_PARAMETERS angstrom
4.992 0.000 0.000
0.000 4.992 0.000
0.000 0.000 4.992
ATOMIC_POSITIONS crystal
Nb 0.000 0.500 0.000
Nb 0.500 0.000 0.000
Nb 0.000 0.000 0.500
As 0.000 0.000 0.000
Cs 0.500 0.500 0.500
```

Which structure is the most stable? The one labeled arrangement x.

Arrangement w

The following is a DFT calculation (PBE) of CsNiAs2 after structural relaxation. Values from VASP.

Calculated values
* space group: R3m, No. 160
* density: 5.756 Mg/m³
* D(E_F): 0.9 states/eV/f.u.

Geometry as Quantum ESPRESSO input:
```
&SYSTEM
  ibrav = 0, nat = 4, ntyp = 3
/
ATOMIC_SPECIES
As 74.92 As.upf
Ni 58.69 Ni.upf
Cs 132.91 Cs.upf
CELL_PARAMETERS angstrom
3.895 0.000 0.000
1.947 3.373 0.000
1.947 1.124 7.498
ATOMIC_POSITIONS crystal
As 0.042 0.042 0.873
As 0.293 0.293 0.122
Ni 0.669 0.669 0.993
Cs 0.496 0.496 0.512
```

Arrangement x

The following is a DFT calculation (PBE) of CsNiAs2 after structural relaxation. Values from VASP.

Calculated values
* space group: R-3m, No. 166
* density: 5.786 Mg/m³
* D(E_F): 0.7 states/eV/f.u.

Geometry as Quantum ESPRESSO input:
```
&SYSTEM
  ibrav = 0, nat = 4, ntyp = 3
/
ATOMIC_SPECIES
Cs 132.91 Cs.upf
As 74.92 As.upf
Ni 58.69 Ni.upf
CELL_PARAMETERS angstrom
-3.458 1.737 0.682
-3.003 -2.094 1.430
-0.011 1.468 7.527
ATOMIC_POSITIONS crystal
Cs 0.500 0.500 0.500
As 0.708 0.708 0.876
As 0.292 0.292 0.124
Ni 0.000 0.000 0.000
```

Arrangement y

The following is a DFT calculation (PBE) of CsNiAs2 after structural relaxation. Values from VASP.

Calculated values
* space group: P4/mmm, No. 123
* density: 6.134 Mg/m³
* D(E_F): 2.0 states/eV/f.u.

Geometry as Quantum ESPRESSO input:
```
&SYSTEM
  ibrav = 0, nat = 4, ntyp = 3
/
ATOMIC_SPECIES
Cs 132.91 Cs.upf
Ni 58.69 Ni.upf
As 74.92 As.upf
CELL_PARAMETERS angstrom
3.451 0.000 0.000
0.000 3.451 0.000
0.000 0.000 7.762
ATOMIC_POSITIONS crystal
Cs 0.500 0.500 0.500
Ni 0.500 0.500 0.000
As 0.000 0.000 0.151
As 0.000 0.000 0.849
```

Which structure is the most stable? The one labeled arrangement x.

Arrangement w

The following is a DFT calculation (PBE) of CsNiAsSe2 after structural relaxation. Values from VASP.

Calculated values
* space group: P4/mmm, No. 123
* density: 3.662 Mg/m³
* D(E_F): 19.0 states/eV/f.u.

Geometry as Quantum ESPRESSO input:
```
&SYSTEM
  ibrav = 0, nat = 5, ntyp = 4
/
ATOMIC_SPECIES
As 74.92 As.upf
Ni 58.69 Ni.upf
Se 78.96 Se.upf
Cs 132.91 Cs.upf
CELL_PARAMETERS angstrom
5.693 0.000 0.000
0.000 5.693 0.000
0.000 0.000 5.938
ATOMIC_POSITIONS crystal
As 0.000 0.000 0.500
Ni 0.500 0.500 0.500
Se 0.500 0.000 0.000
Se 0.000 0.500 0.000
Cs 0.000 0.000 0.000
```

Arrangement x

The following is a DFT calculation (PBE) of CsNiAsSe2 after structural relaxation. Values from VASP.

Calculated values
* space group: P4/mmm, No. 123
* density: 5.621 Mg/m³
* D(E_F): 4.6 states/eV/f.u.

Geometry as Quantum ESPRESSO input:
```
&SYSTEM
  ibrav = 0, nat = 5, ntyp = 4
/
ATOMIC_SPECIES
Ni 58.69 Ni.upf
As 74.92 As.upf
Se 78.96 Se.upf
Cs 132.91 Cs.upf
CELL_PARAMETERS angstrom
5.261 0.000 0.000
0.000 5.261 0.000
0.000 0.000 4.530
ATOMIC_POSITIONS crystal
Ni 0.000 0.000 0.000
As 0.000 0.000 0.500
Se 0.000 0.500 0.000
Se 0.500 0.000 0.000
Cs 0.500 0.500 0.500
```

Which structure is the most stable? The one labeled arrangement x.

Arrangement w

The following is a DFT calculation (PBE) of Cs2AsO after structural relaxation. Values from VASP.

Calculated values
* space group: Fm-3m, No. 225
* density: 4.518 Mg/m³
* D(E_F): 2.5 states/eV/f.u.

Geometry as Quantum ESPRESSO input:
```
&SYSTEM
  ibrav = 0, nat = 4, ntyp = 3
/
ATOMIC_SPECIES
As 74.92 As.upf
O 16.00 O.upf
Cs 132.91 Cs.upf
CELL_PARAMETERS angstrom
0.000 4.032 4.032
4.032 0.000 4.032
4.032 4.032 0.000
ATOMIC_POSITIONS crystal
As 0.500 0.500 0.500
O 0.000 0.000 0.000
Cs 0.750 0.750 0.750
Cs 0.250 0.250 0.250
```

Arrangement x

The following is a DFT calculation (PBE) of Cs2AsO after structural relaxation. Values from VASP.

Calculated values
* space group: I-42d, No. 122
* density: 3.763 Mg/m³
* D(E_F): 4.0 states/eV/f.u.

Geometry as Quantum ESPRESSO input:
```
&SYSTEM
  ibrav = 0, nat = 8, ntyp = 3
/
ATOMIC_SPECIES
Cs 132.91 Cs.upf
As 74.92 As.upf
O 16.00 O.upf
CELL_PARAMETERS angstrom
-6.148 6.148 2.082
6.148 -6.148 2.082
6.148 6.148 -2.082
ATOMIC_POSITIONS crystal
Cs 0.575 0.375 0.700
Cs 0.625 0.325 0.200
Cs 0.675 0.875 0.300
Cs 0.125 0.425 0.800
As 0.000 0.000 0.000
As 0.250 0.750 0.500
O 0.750 0.250 0.500
O 0.500 0.500 0.000
```

Which structure is the most stable? The one labeled arrangement x.

Arrangement w

The following is a DFT calculation (PBE) of CsAsSe2O after structural relaxation. Values from VASP.

Calculated values
* space group: P4/mmm, No. 123
* density: 5.081 Mg/m³
* D(E_F): 5.4 states/eV/f.u.

Geometry as Quantum ESPRESSO input:
```
&SYSTEM
  ibrav = 0, nat = 5, ntyp = 4
/
ATOMIC_SPECIES
As 74.92 As.upf
Se 78.96 Se.upf
Cs 132.91 Cs.upf
O 16.00 O.upf
CELL_PARAMETERS angstrom
-0.478 4.848 -2.546
-3.056 1.884 4.162
3.413 1.335 1.902
ATOMIC_POSITIONS crystal
As 0.000 0.000 0.500
Se 0.000 0.500 0.000
Se 0.500 0.000 0.000
Cs 0.500 0.500 0.500
O 0.000 0.000 0.000
```

Arrangement x

The following is a DFT calculation (PBE) of CsAsSe2O after structural relaxation. Values from VASP.

Calculated values
* space group: P4/mmm, No. 123
* density: 2.955 Mg/m³
* D(E_F): 15.7 states/eV/f.u.

Geometry as Quantum ESPRESSO input:
```
&SYSTEM
  ibrav = 0, nat = 5, ntyp = 4
/
ATOMIC_SPECIES
O 16.00 O.upf
Cs 132.91 Cs.upf
Se 78.96 Se.upf
As 74.92 As.upf
CELL_PARAMETERS angstrom
-0.189 3.086 -4.963
-2.965 -4.330 -2.580
-5.404 2.610 1.829
ATOMIC_POSITIONS crystal
O 0.500 0.500 0.500
Cs 0.000 0.000 0.000
Se 0.000 0.500 0.000
Se 0.500 0.000 0.000
As 0.000 0.000 0.500
```

Which structure is the most stable? The one labeled arrangement w.